1.
## Na2Sn2Bi (PBE)

Data for an optimized crystal structure of Na2Sn2Bi.

Cell: 5.011 3.444 8.521 Å, 90.00 106.78 90.00°
Atoms (fractional coordinates):
Na: 0.105 0.000 0.209
Na: 0.895 0.000 0.791
Sn: 0.301 0.500 0.604
Sn: 0.699 0.500 0.396
Bi: 0.500 0.500 0.000

Properties
density: 5.81 Mg/m³
ΔE to the lowest computed polymorph: 0 meV/atom
Fermi-level density of states: 0.43 states/eV per atom

***

2.
## Rb2LiPuI6 (PBE)

Data for an optimized crystal structure of Rb2LiPuI6.

Cell: 8.320 8.702 14.522 Å, 90.00 124.78 90.00°
Atoms (fractional coordinates):
Rb: 0.227 0.068 0.249
Rb: 0.227 0.432 0.749
Rb: 0.773 0.568 0.251
Rb: 0.773 0.932 0.751
Li: 0.000 0.000 0.500
Li: 0.000 0.500 0.000
Pu: 0.500 0.000 0.000
Pu: 0.500 0.500 0.500
I: 0.159 0.206 0.958
I: 0.159 0.294 0.458
I: 0.262 0.703 0.963
I: 0.262 0.797 0.463
I: 0.324 0.013 0.746
I: 0.324 0.487 0.246
I: 0.676 0.513 0.754
I: 0.676 0.987 0.254
I: 0.738 0.203 0.537
I: 0.738 0.297 0.037
I: 0.841 0.706 0.542
I: 0.841 0.794 0.042

Properties
density: 4.55 Mg/m³
Fermi-level density of states: 1.27 states/eV per atom
formation energy without anion corrections: -12.67 eV/f.u.